[1]
Density functional theory data (GGA-PBE) for an optimized crystal structure of PaNi2H2.

Lattice parameters (Å, degrees): 3.746 3.626 8.644 102.11 102.52 90.00
Fractional positions:
Ni: 0.297 0.047 0.594
Ni: 0.444 0.194 0.889
Ni: 0.703 0.953 0.406
Ni: 0.556 0.806 0.111
H: 0.947 0.197 0.894
H: 0.549 0.299 0.098
H: 0.451 0.701 0.902
H: 0.053 0.803 0.106
Pa: 0.141 0.391 0.282
Pa: 0.859 0.609 0.718

Values from the calculation:
SG = No. 74
DOS(E_F) = 5.69 states/eV/cell
calculated total energy = -5.84 eV per atom

[2]
Density functional theory data (GGA-PBE) for an optimized crystal structure of PaNi4H8.

Lattice parameters (Å, degrees): 5.215 5.215 5.947 64.00 64.00 60.00
Fractional positions:
H: 0.217 0.217 0.834
H: 0.274 0.274 0.179
H: 0.732 0.217 0.834
H: 0.217 0.732 0.834
H: 0.268 0.783 0.166
H: 0.783 0.268 0.166
H: 0.783 0.783 0.166
H: 0.726 0.726 0.821
Ni: 0.500 0.500 0.000
Ni: 0.000 0.500 0.000
Ni: 0.500 0.000 0.000
Ni: 0.000 0.000 0.000
Pa: 0.500 0.500 0.500

Values from the calculation:
SG = No. 166
DOS(E_F) = 11.00 states/eV/cell
calculated total energy = -4.52 eV per atom

[3]
Density functional theory data (GGA-PBE) for an optimized crystal structure of PaNiH2.

Lattice parameters (Å, degrees): 3.169 3.437 3.910 90.00 89.96 90.03
Fractional positions:
H: 0.659 0.568 0.402
H: 0.660 0.069 0.842
Pa: 0.159 0.069 0.328
Ni: 0.657 0.569 0.840

Values from the calculation:
SG = No. 25
DOS(E_F) = 3.98 states/eV/cell
calculated total energy = -5.71 eV per atom

[4]
Density functional theory data (GGA-PBE) for an optimized crystal structure of PaNi3H3.

Lattice parameters (Å, degrees): 5.974 5.975 5.974 60.00 60.00 60.00
Fractional positions:
Ni: 0.197 0.197 0.803
Ni: 0.803 0.197 0.803
Ni: 0.197 0.803 0.197
Ni: 0.803 0.197 0.197
Ni: 0.197 0.803 0.803
Ni: 0.803 0.803 0.197
H: 0.631 0.369 0.369
H: 0.631 0.631 0.369
H: 0.369 0.631 0.369
H: 0.369 0.369 0.631
H: 0.631 0.369 0.631
H: 0.369 0.631 0.631
Pa: 0.750 0.750 0.750
Pa: 0.250 0.250 0.250

Values from the calculation:
SG = No. 225
DOS(E_F) = 6.58 states/eV/cell
calculated total energy = -5.07 eV per atom

[5]
Density functional theory data (GGA-PBE) for an optimized crystal structure of PaNi5H4.

Lattice parameters (Å, degrees): 4.866 7.870 5.032 90.00 90.00 90.00
Fractional positions:
H: 0.019 0.783 0.500
H: 0.019 0.217 0.500
H: 0.297 0.500 0.734
H: 0.981 0.717 0.000
H: 0.703 0.000 0.766
H: 0.703 0.000 0.234
H: 0.297 0.500 0.266
H: 0.981 0.283 0.000
Ni: 0.747 0.781 0.757
Ni: 0.253 0.719 0.743
Ni: 0.253 0.281 0.743
Ni: 0.747 0.781 0.243
Ni: 0.527 0.500 0.000
Ni: 0.747 0.219 0.243
Ni: 0.473 0.000 0.500
Ni: 0.253 0.719 0.257
Ni: 0.253 0.281 0.257
Ni: 0.747 0.219 0.757
Pa: 0.245 0.000 0.000
Pa: 0.755 0.500 0.500

Values from the calculation:
SG = No. 59
DOS(E_F) = 11.93 states/eV/cell
calculated total energy = -5.32 eV per atom

[6]
Density functional theory data (GGA-PBE) for an optimized crystal structure of Pa2Ni2H7.

Lattice parameters (Å, degrees): 3.650 5.342 5.342 100.88 99.88 99.88
Fractional positions:
H: 0.898 0.148 0.497
H: 0.521 0.691 0.691
H: 0.000 0.000 0.000
H: 0.102 0.852 0.503
H: 0.898 0.497 0.148
H: 0.102 0.503 0.852
H: 0.479 0.309 0.309
Pa: 0.500 0.247 0.753
Pa: 0.500 0.753 0.247
Ni: 0.976 0.758 0.758
Ni: 0.024 0.242 0.242

Values from the calculation:
SG = No. 12
DOS(E_F) = 7.95 states/eV/cell
calculated total energy = -5.10 eV per atom

[7]
Density functional theory data (GGA-PBE) for an optimized crystal structure of PaNi4H.

Lattice parameters (Å, degrees): 4.786 4.786 4.786 60.00 60.00 60.00
Fractional positions:
Ni: 0.626 0.122 0.626
Ni: 0.626 0.626 0.122
Ni: 0.122 0.626 0.626
Ni: 0.626 0.626 0.626
Pa: 0.250 0.250 0.250
H: 0.000 0.000 0.000

Values from the calculation:
SG = No. 216
DOS(E_F) = 1.70 states/eV/cell
calculated total energy = -6.12 eV per atom

[8]
Density functional theory data (GGA-PBE) for an optimized crystal structure of PaNiH6.

Lattice parameters (Å, degrees): 4.351 4.351 4.350 59.99 60.00 90.11
Fractional positions:
Pa: 0.500 0.500 0.000
H: 0.171 0.829 0.721
H: 0.359 0.359 0.642
H: 0.641 0.641 0.358
H: 0.829 0.171 0.279
H: 0.829 0.171 0.721
H: 0.171 0.829 0.279
Ni: 0.000 0.000 0.000

Values from the calculation:
SG = No. 71
DOS(E_F) = 4.18 states/eV/cell
calculated total energy = -4.61 eV per atom

[9]
Density functional theory data (GGA-PBE) for an optimized crystal structure of PaNi4H12.

Lattice parameters (Å, degrees): 5.750 5.750 5.750 109.47 109.47 109.47
Fractional positions:
H: 0.246 0.999 0.753
H: 0.753 0.246 0.999
H: 0.753 0.754 0.506
H: 0.247 0.246 0.494
H: 0.754 0.506 0.753
H: 0.754 0.001 0.247
H: 0.247 0.754 0.001
H: 0.506 0.753 0.754
H: 0.494 0.247 0.246
H: 0.999 0.753 0.246
H: 0.001 0.247 0.754
H: 0.246 0.494 0.247
Ni: 0.500 0.000 0.000
Ni: 0.500 0.500 0.500
Ni: 0.000 0.500 0.000
Ni: 0.000 0.000 0.500
Pa: 0.000 0.000 0.000

Values from the calculation:
SG = No. 229
DOS(E_F) = 3.09 states/eV/cell
calculated total energy = -4.36 eV per atom

[10]
Density functional theory data (GGA-PBE) for an optimized crystal structure of Pa3Ni5H12.

Lattice parameters (Å, degrees): 9.814 9.814 9.814 109.47 109.47 109.47
Fractional positions:
Ni: 0.000 0.500 0.000
Ni: 0.625 0.875 0.250
Ni: 0.000 0.000 0.000
Ni: 0.500 0.000 0.500
Ni: 0.125 0.375 0.250
Ni: 0.000 0.000 0.500
Ni: 0.500 0.000 0.000
Ni: 0.875 0.250 0.625
Ni: 0.750 0.625 0.375
Ni: 0.125 0.750 0.375
Ni: 0.500 0.500 0.000
Ni: 0.500 0.500 0.500
Ni: 0.250 0.375 0.625
Ni: 0.375 0.250 0.125
Ni: 0.625 0.750 0.875
Ni: 0.000 0.500 0.500
Ni: 0.250 0.875 0.125
Ni: 0.875 0.625 0.750
Ni: 0.750 0.125 0.875
Ni: 0.375 0.125 0.750
Pa: 0.250 0.625 0.875
Pa: 0.125 0.875 0.750
Pa: 0.125 0.250 0.875
Pa: 0.875 0.125 0.250
Pa: 0.750 0.875 0.625
Pa: 0.375 0.625 0.250
Pa: 0.625 0.375 0.750
Pa: 0.250 0.125 0.375
Pa: 0.750 0.375 0.125
Pa: 0.875 0.750 0.125
Pa: 0.625 0.250 0.375
Pa: 0.375 0.750 0.625
H: 0.490 0.812 0.897
H: 0.397 0.408 0.086
H: 0.092 0.178 0.490
H: 0.414 0.103 0.592
H: 0.908 0.822 0.510
H: 0.908 0.086 0.897
H: 0.592 0.603 0.414
H: 0.688 0.103 0.010
H: 0.312 0.897 0.990
H: 0.188 0.678 0.086
H: 0.322 0.510 0.408
H: 0.678 0.188 0.586
H: 0.812 0.490 0.397
H: 0.490 0.678 0.092
H: 0.990 0.397 0.312
H: 0.312 0.414 0.822
H: 0.586 0.897 0.408
H: 0.914 0.822 0.812
H: 0.414 0.312 0.322
H: 0.688 0.586 0.178
H: 0.822 0.908 0.010
H: 0.914 0.092 0.603
H: 0.897 0.586 0.908
H: 0.510 0.322 0.908
H: 0.603 0.010 0.188
H: 0.990 0.592 0.178
H: 0.086 0.178 0.188
H: 0.322 0.812 0.414
H: 0.188 0.510 0.603
H: 0.086 0.908 0.397
H: 0.103 0.688 0.510
H: 0.586 0.688 0.678
H: 0.812 0.322 0.914
H: 0.592 0.990 0.678
H: 0.103 0.414 0.092
H: 0.510 0.188 0.103
H: 0.678 0.490 0.592
H: 0.397 0.990 0.812
H: 0.408 0.397 0.586
H: 0.092 0.914 0.103
H: 0.178 0.092 0.990
H: 0.897 0.312 0.490
H: 0.822 0.914 0.312
H: 0.603 0.592 0.914
H: 0.010 0.408 0.822
H: 0.178 0.086 0.688
H: 0.010 0.603 0.688
H: 0.408 0.010 0.322

Values from the calculation:
SG = No. 230
DOS(E_F) = 66.87 states/eV/cell
calculated total energy = -5.01 eV per atom

[11]
Density functional theory data (GGA-PBE) for an optimized crystal structure of PaNiH2.

Lattice parameters (Å, degrees): 3.254 3.254 5.705 73.43 73.43 60.00
Fractional positions:
H: 0.905 0.905 0.286
H: 0.095 0.095 0.714
Ni: 0.000 0.000 0.000
Pa: 0.500 0.500 0.500

Values from the calculation:
SG = No. 166
DOS(E_F) = 4.64 states/eV/cell
calculated total energy = -5.47 eV per atom

[12]
Density functional theory data (GGA-PBE) for an optimized crystal structure of PaNiH3.

Lattice parameters (Å, degrees): 3.349 3.314 8.890 100.74 100.83 90.00
Fractional positions:
H: 0.932 0.181 0.363
H: 0.549 0.298 0.597
H: 0.451 0.702 0.403
H: 0.287 0.037 0.074
H: 0.713 0.963 0.926
H: 0.068 0.819 0.637
Pa: 0.162 0.412 0.824
Pa: 0.838 0.588 0.176
Ni: 0.561 0.811 0.622
Ni: 0.439 0.189 0.378

Values from the calculation:
SG = No. 74
DOS(E_F) = 6.33 states/eV/cell
calculated total energy = -5.18 eV per atom